Entry 1:
Compound: Ga2HgGeO6
Source: the Alexandria database
Functional: GGA-PBE
Structure: relaxed

Structure (CIF):
```
data_Ga2HgGeO6
_chemical_formula_sum 'Ga8 Hg4 Ge4 O24'
_space_group_name_H-M_alt 'C 1 2/c 1'
_space_group_IT_number 15
_space_group_name_Hall '-C 2yc'
_cell_length_a 9.152
_cell_length_b 11.618
_cell_length_c 5.834
_cell_angle_alpha 90.00
_cell_angle_beta 116.84
_cell_angle_gamma 90.00
loop_
_atom_site_label
_atom_site_type_symbol
_atom_site_fract_x
_atom_site_fract_y
_atom_site_fract_z
_atom_site_occupancy
Ga1 Ga 0.133 0.078 0.168 1
Hg1 Hg 0.000 0.395 0.250 1
Ge1 Ge 0.000 0.298 0.750 1
O1 O 0.107 0.230 0.046 1
O2 O 0.120 0.401 0.667 1
O3 O 0.126 0.055 0.482 1
```

## Properties
**Mass density**: 6.10 g/cm³
**Electronic total energy**: -5.50 eV per atom
**Formation energy from raw total energies**: -14.244 eV per formula unit
**V**: 553.5 Å³ per cell

Entry 2:
Compound: LaOsW2
Source: the Alexandria database
Functional: GGA-PBE
Structure: relaxed

Structure (CIF):
```
data_LaOsW2
_chemical_formula_sum 'La1 Os1 W2'
_space_group_name_H-M_alt 'P 4/m m m'
_space_group_IT_number 123
_space_group_name_Hall '-P 4 2'
_cell_length_a 3.305
_cell_length_b 3.305
_cell_length_c 7.452
_cell_angle_alpha 90.00
_cell_angle_beta 90.00
_cell_angle_gamma 90.00
loop_
_atom_site_label
_atom_site_type_symbol
_atom_site_fract_x
_atom_site_fract_y
_atom_site_fract_z
_atom_site_occupancy
La1 La 0.000 0.000 0.000 1
Os1 Os 0.000 0.000 0.500 1
W1 W 0.500 0.500 0.326 1
```

## Properties
**Mass density**: 14.21 g/cm³
**Electronic total energy**: -9.93 eV per atom
**ΔE_f**: 227 kJ/mol of formula units
**V**: 81.4 Å³ per cell

Entry 3:
Compound: Li4AgAu2
Source: the Alexandria database
Functional: GGA-PBE
Structure: relaxed

Structure (CIF):
```
data_Li4AgAu2
_chemical_formula_sum 'Li12 Ag3 Au6'
_space_group_name_H-M_alt 'R -3 m'
_space_group_IT_number 166
_space_group_name_Hall '-R 3 2"'
_cell_length_a 4.4739
_cell_length_b 4.4739
_cell_length_c 20.8899
_cell_angle_alpha 90.00
_cell_angle_beta 90.00
_cell_angle_gamma 120.00
loop_
_atom_site_label
_atom_site_type_symbol
_atom_site_fract_x
_atom_site_fract_y
_atom_site_fract_z
_atom_site_occupancy
Li1 Li 0.0000 0.0000 0.1075 1
Li2 Li 0.0000 0.0000 0.3681 1
Ag1 Ag 0.0000 0.0000 0.5000 1
Au1 Au 0.0000 0.0000 0.2416 1
```

## Properties
**Mass density**: 7.29 g/cm³
**Electronic total energy**: -2.83 eV per atom
**ΔE_f**: -263 kJ/mol of formula units
**V**: 362.1 Å³ per cell

Entry 4:
Compound: K3Na2TeO6
Source: the Alexandria database
Functional: GGA-PBE
Structure: relaxed

Structure (CIF):
```
data_K3Na2TeO6
_chemical_formula_sum 'K6 Na4 Te2 O12'
_space_group_name_H-M_alt 'C 1 2/m 1'
_space_group_IT_number 12
_space_group_name_Hall '-C 2y'
_cell_length_a 6.054
_cell_length_b 10.402
_cell_length_c 6.333
_cell_angle_alpha 90.00
_cell_angle_beta 108.74
_cell_angle_gamma 90.00
loop_
_atom_site_label
_atom_site_type_symbol
_atom_site_fract_x
_atom_site_fract_y
_atom_site_fract_z
_atom_site_occupancy
K1 K 0.000 0.000 0.000 1
K2 K 0.000 0.322 0.000 1
Na1 Na 0.000 0.166 0.500 1
Te1 Te 0.000 0.500 0.500 1
O1 O 0.198 0.364 0.687 1
O2 O 0.204 0.500 0.311 1
```

## Properties
**Mass density**: 3.40 g/cm³
**Electronic total energy**: -4.62 eV per atom
**Formation energy from raw total energies**: -16.580 eV per formula unit
**V**: 377.7 Å³ per cell

Question: Which of these has the lowest V?
Answer: LaOsW2

What did the second record say?
Compound: LaOsW2
Source: the Alexandria database
Functional: GGA-PBE
Structure: relaxed

Structure (CIF):
```
data_LaOsW2
_chemical_formula_sum 'La1 Os1 W2'
_space_group_name_H-M_alt 'P 4/m m m'
_space_group_IT_number 123
_space_group_name_Hall '-P 4 2'
_cell_length_a 3.305
_cell_length_b 3.305
_cell_length_c 7.452
_cell_angle_alpha 90.00
_cell_angle_beta 90.00
_cell_angle_gamma 90.00
loop_
_atom_site_label
_atom_site_type_symbol
_atom_site_fract_x
_atom_site_fract_y
_atom_site_fract_z
_atom_site_occupancy
La1 La 0.000 0.000 0.000 1
Os1 Os 0.000 0.000 0.500 1
W1 W 0.500 0.500 0.326 1
```

## Properties
**Mass density**: 14.21 g/cm³
**Electronic total energy**: -9.93 eV per atom
**ΔE_f**: 227 kJ/mol of formula units
**V**: 81.4 Å³ per cell

Question: Which of these has the lowest mass density?
Answer: K3Na2TeO6

Question: Which of these has the highest mass density?
Answer: LaOsW2